A plane-wave DFT calculation with PBE was carried out for a relaxed PmHoMgAg crystal.

Cell: 3.7608 3.7608 7.3867 Å, 90.00 90.00 90.00°
Space group P4mm (No. 99)
Symmetry-distinct sites (fractional):
Pm: 0.0000 0.0000 0.0000
Ho: 0.0000 0.0000 0.4834
Mg: 0.5000 0.5000 0.7337
Ag: 0.5000 0.5000 0.2605

The total energy is -3.6279 eV per atom. For the formation energy, the calculation gives -0.1844 eV per atom. The total magnetic moment comes out at 0.0 Bohr magnetons per cell. The polymorph energy (0 for the lowest one) is 0.000 eV/atom.